# 1
Material: Pm5AlSn3
Method: DFT, PBE-GGA
State: optimized geometry

a b c (Å): 6.6342 9.5136 9.5133
angles (deg): 120.00 90.00 90.00
Positions (direct):
Pm: 0.7500 0.0000 0.2689
Pm: 0.0000 0.3333 0.6667
Pm: 0.2500 0.2690 0.2689
Pm: 0.7500 0.7310 0.7311
Pm: 0.5000 0.3333 0.6667
Pm: 0.0000 0.6667 0.3333
Pm: 0.2500 0.7311 0.0000
Pm: 0.7500 0.2689 0.0000
Pm: 0.2500 0.0000 0.7311
Pm: 0.5000 0.6667 0.3333
Sn: 0.2500 0.6215 0.6215
Sn: 0.7500 0.3785 0.3785
Sn: 0.7500 0.6215 0.0000
Sn: 0.2500 0.0000 0.3785
Sn: 0.7500 0.0000 0.6215
Sn: 0.2500 0.3785 0.0000
Al: 0.0000 0.0000 0.0000
Al: 0.5000 0.0000 0.0000

For the total moment, the calculation gives 0.00 μB/f.u. The calculated formation energy is -0.648 eV per atom. The calculation puts the uncorrected energy at -5.04 eV per atom. Its density of states at the Fermi level is 9.711 states/eV/f.u. The space group is No. 193.


# 2
Material: PmAl2Sn
Method: DFT, PBE-GGA
State: optimized geometry

a b c (Å): 4.6830 4.6830 5.7979
angles (deg): 66.18 66.18 60.00
Positions (direct):
Pm: 0.5000 0.5000 0.5000
Al: 0.2837 0.2837 0.1489
Al: 0.7163 0.7163 0.8511
Sn: 0.0000 0.0000 0.0000

For the total moment, the calculation gives 0.00 μB/f.u. The calculated formation energy is -0.163 eV per atom. The calculation puts the uncorrected energy at -4.22 eV per atom. Its density of states at the Fermi level is 2.843 states/eV/f.u. The space group is No. 166.


# 3
Material: Pm5AlSn4
Method: DFT, PBE-GGA
State: optimized geometry

a b c (Å): 3.5103 3.5103 22.3631
angles (deg): 90.00 90.00 90.00
Positions (direct):
Sn: 0.0000 0.0000 0.8046
Sn: 0.0000 0.0000 0.6016
Sn: 0.0000 0.0000 0.1954
Sn: 0.0000 0.0000 0.3984
Pm: 0.5000 0.5000 0.5000
Pm: 0.5000 0.5000 0.7038
Pm: 0.5000 0.5000 0.0929
Pm: 0.5000 0.5000 0.2962
Pm: 0.5000 0.5000 0.9071
Al: 0.0000 0.0000 0.0000

For the total moment, the calculation gives 0.00 μB/f.u. The calculated formation energy is -0.605 eV per atom. The calculation puts the uncorrected energy at -4.96 eV per atom. Its density of states at the Fermi level is 7.962 states/eV/f.u. The space group is No. 123.